[1]
Th4CS2N | Alexandria | PBE | relaxed; E_form (uncorrected) = -11.58 eV/f.u.
1.0
-1.873 0.268 -3.315
1.947 -6.507 -1.627
-4.583 -4.172 2.252
Th S N C
4 2 1 1
Direct
0.500 0.286 0.740
0.500 0.714 0.260
0.000 0.286 0.237
0.000 0.714 0.763
0.000 0.000 0.000
0.500 0.000 0.500
0.500 0.500 0.000
0.000 0.500 0.500

---

[2]
AlHBr2 | Alexandria | PBE | relaxed; DFT total energy = -2.300 eV/atom
1.0
-0.865 -2.848 -3.648
-3.512 0.988 -2.977
0.960 1.430 -4.382
H Br Al
1 2 1
Direct
0.000 0.000 0.000
0.250 0.250 0.250
0.750 0.750 0.750
0.500 0.500 0.500

---

[3]
CaNd2Zn | Alexandria | PBE | relaxed; energy relative to the lowest polymorph listed for this composition = 109 meV/atom; formation energy = -0.009 eV/atom
1.0
3.744 0.000 0.000
1.872 3.242 0.000
1.872 1.081 10.853
Zn Nd Ca
1 2 1
Direct
0.000 0.000 0.000
0.734 0.734 0.797
0.266 0.266 0.203
0.500 0.500 0.500

---

[4]
Tb3Ho2Te8 | Alexandria | PBE | relaxed; E_form (uncorrected) = -16.23 eV/f.u.
1.0
7.497 0.000 0.287
0.000 8.698 0.000
-2.715 -4.349 7.154
Ho Tb Te
2 3 8
Direct
0.331 0.250 0.500
0.669 0.750 0.500
0.000 0.258 0.000
0.500 0.000 0.000
0.000 0.742 0.000
0.895 0.618 0.235
0.414 0.372 0.246
0.105 0.382 0.765
0.083 0.878 0.755
0.414 0.874 0.246
0.586 0.628 0.754
0.586 0.126 0.754
0.917 0.122 0.245

---

[5]
CaAc2Sn4Pd3 | Alexandria | PBE | relaxed; formation energy = -0.736 eV/atom
1.0
4.603 0.000 0.000
0.000 4.603 0.000
0.000 0.000 12.299
Sn Pd Ac Ca
4 3 2 1
Direct
0.500 0.500 0.000
0.000 0.500 0.341
0.000 0.000 0.000
0.500 0.000 0.659
0.000 0.000 0.500
0.000 0.500 0.123
0.500 0.000 0.877
0.500 0.000 0.232
0.000 0.500 0.768
0.500 0.500 0.500

---

[6]
Ta2AuCl | Alexandria | PBE | relaxed; energy relative to the lowest polymorph listed for this composition = 399 meV/atom; E_form (uncorrected) = 1.01 eV/f.u.
1.0
-2.139 1.213 -1.512
1.080 -2.126 -3.234
-3.892 -4.661 1.766
Ta Cl Au
2 1 1
Direct
0.500 0.500 0.238
0.000 0.000 0.957
0.500 0.500 0.833
0.000 0.000 0.472

---

[7]
KAlS2 | Alexandria | PBE | relaxed; E_form (uncorrected) = -5.03 eV/f.u.
1.0
8.012 0.536 0.906
2.398 5.893 0.544
-3.260 -2.368 4.955
Al K S
2 2 4
Direct
0.456 0.102 0.341
0.452 0.830 0.613
0.772 0.367 0.144
0.135 0.634 0.877
0.437 0.451 0.319
0.207 0.111 0.430
0.701 0.920 0.621
0.470 0.809 0.961

---

[8]
TlAgGe | Alexandria | PBE | relaxed; formation energy = 0.391 eV/atom
1.0
-1.944 -1.598 -3.444
3.548 -2.142 -1.010
-2.468 -6.074 4.212
Tl Ag Ge
2 2 2
Direct
0.000 0.000 0.500
0.500 0.500 0.500
0.500 0.000 0.200
0.000 0.500 0.800
0.000 0.500 0.131
0.500 0.000 0.869

---

[9]
TbTmC2 | Alexandria | PBE | relaxed; formation energy = 0.015 eV/atom
1.0
3.578 0.000 0.000
1.789 3.099 0.000
1.789 1.033 5.824
Tb Tm C
1 1 2
Direct
0.500 0.500 0.500
0.000 0.000 0.000
0.252 0.252 0.244
0.748 0.748 0.756

---

[10]
Ba3In8Ga3 | Alexandria | PBE | relaxed; energy relative to the lowest polymorph listed for this composition = 17 meV/atom; formation energy = -0.325 eV/atom
1.0
4.991 0.000 0.000
2.496 9.151 -0.271
2.496 2.231 8.879
Ba In Ga
3 8 3
Direct
0.500 0.500 0.500
0.821 0.179 0.179
0.179 0.821 0.821
0.362 0.360 0.916
0.362 0.916 0.360
0.638 0.640 0.084
0.159 0.472 0.210
0.638 0.084 0.640
0.159 0.210 0.472
0.841 0.528 0.790
0.841 0.790 0.528
0.000 0.206 0.794
0.500 0.000 0.000
0.000 0.794 0.206